Entry 1:
Material: La7Nd3Tm
Method: DFT, PBE-GGA
State: optimized geometry

Magnetic moment ... 0.0 μB per cell
Mass density ... 6.45 g cm⁻³
Energy relative to the elements ... 0.2089 eV per atom

Lattice parameters (Å, degrees): 8.7023 8.7023 6.0867 110.29 110.29 83.09
Fractional positions:
La 0.0000 0.0000 0.0000
La 0.0958 0.5141 0.3048
La 0.2883 0.2883 0.7890
La 0.4859 0.9042 0.6952
La 0.5141 0.0958 0.3048
La 0.7117 0.7117 0.2110
La 0.9042 0.4859 0.6952
Nd 0.2920 0.7080 0.0000
Nd 0.5000 0.5000 0.5000
Nd 0.7080 0.2920 0.0000
Tm 0.0000 0.0000 0.5000


Entry 2:
Material: La7Nd2Tm4
Method: DFT, PBE-GGA
State: optimized geometry

Magnetic moment ... 0.0 μB per cell
Mass density ... 7.16 g cm⁻³
Energy relative to the elements ... 0.1718 eV per atom

Lattice parameters (Å, degrees): 6.2830 6.2830 13.1376 90.00 90.00 120.00
Fractional positions:
La 0.0000 0.0000 0.0000
La 0.0000 0.3833 0.2323
La 0.0000 0.6167 0.7677
La 0.3833 0.0000 0.2323
La 0.3833 0.3833 0.7677
La 0.6167 0.0000 0.7677
La 0.6167 0.6167 0.2323
Nd 0.3333 0.6667 0.0000
Nd 0.6667 0.3333 0.0000
Tm 0.0000 0.0000 0.3907
Tm 0.0000 0.0000 0.6093
Tm 0.3333 0.6667 0.5000
Tm 0.6667 0.3333 0.5000


Entry 3:
Material: La3Nd3Tm
Method: DFT, PBE-GGA
State: optimized geometry

Magnetic moment ... 0.0 μB per cell
Mass density ... 6.78 g cm⁻³
Excess energy over the best structure of this formula in the dataset ... 0.00 eV per formula unit
Energy relative to the elements ... 0.0302 eV per atom

Lattice parameters (Å, degrees): 9.8627 9.8627 5.9221 90.00 90.00 120.00
Fractional positions:
La 0.0474 0.8044 0.2500
La 0.1956 0.2429 0.2500
La 0.2429 0.0474 0.7500
La 0.7571 0.9526 0.2500
La 0.8044 0.7571 0.7500
La 0.9526 0.1956 0.7500
Nd 0.0956 0.6151 0.7500
Nd 0.3849 0.4805 0.7500
Nd 0.4805 0.0956 0.2500
Nd 0.5195 0.9044 0.7500
Nd 0.6151 0.5195 0.2500
Nd 0.9044 0.3849 0.2500
Tm 0.3333 0.6667 0.2500
Tm 0.6667 0.3333 0.7500


Entry 4:
Material: LaNdTm
Method: DFT, PBE-GGA
State: optimized geometry

Magnetic moment ... 0.0 μB per cell
Mass density ... 7.34 g cm⁻³
Excess energy over the best structure of this formula in the dataset ... 0.00 eV per formula unit
Energy relative to the elements ... 0.0255 eV per atom

Lattice parameters (Å, degrees): 6.2878 6.2898 6.3405 80.28 70.27 60.02
Fractional positions:
La 0.0828 0.3328 0.2500
La 0.9172 0.6672 0.7500
Nd 0.2525 0.9967 0.7501
Nd 0.7475 0.0033 0.2499
Tm 0.4177 0.6634 0.2499
Tm 0.5823 0.3366 0.7501


Entry 5:
Material: La5Nd2Tm5
Method: DFT, PBE-GGA
State: optimized geometry

Magnetic moment ... 0.0 μB per cell
Mass density ... 7.49 g cm⁻³
Energy relative to the elements ... 0.0298 eV per atom

Lattice parameters (Å, degrees): 8.1325 8.1325 11.4914 115.19 115.19 36.64
Fractional positions:
La 0.0000 0.0000 0.0000
La 0.0874 0.0874 0.7529
La 0.1644 0.1644 0.4982
La 0.8356 0.8356 0.5018
La 0.9126 0.9126 0.2471
Nd 0.4169 0.4169 0.7524
Nd 0.5831 0.5831 0.2476
Tm 0.2490 0.2490 0.2467
Tm 0.3299 0.3299 0.9976
Tm 0.5000 0.5000 0.5000
Tm 0.6701 0.6701 0.0024
Tm 0.7510 0.7510 0.7533


Entry 6:
Material: La15NdTm4
Method: DFT, PBE-GGA
State: optimized geometry

Magnetic moment ... 0.0 μB per cell
Mass density ... 6.85 g cm⁻³
Energy relative to the elements ... 0.0075 eV per atom

Lattice parameters (Å, degrees): 5.1998 5.1998 26.0268 90.00 90.00 90.00
Fractional positions:
La 0.0000 0.0000 0.0000
La 0.0000 0.0000 0.2014
La 0.0000 0.0000 0.4004
La 0.0000 0.0000 0.5996
La 0.0000 0.0000 0.7986
La 0.0000 0.5000 0.1017
La 0.0000 0.5000 0.3009
La 0.0000 0.5000 0.5000
La 0.0000 0.5000 0.6991
La 0.0000 0.5000 0.8983
La 0.5000 0.0000 0.1017
La 0.5000 0.0000 0.3009
La 0.5000 0.0000 0.5000
La 0.5000 0.0000 0.6991
La 0.5000 0.0000 0.8983
Nd 0.5000 0.5000 0.0000
Tm 0.5000 0.5000 0.2014
Tm 0.5000 0.5000 0.4004
Tm 0.5000 0.5000 0.5996
Tm 0.5000 0.5000 0.7986


Entry 7:
Material: LaNd2Tm5
Method: DFT, PBE-GGA
State: optimized geometry

Magnetic moment ... 0.0 μB per cell
Mass density ... 8.16 g cm⁻³
Excess energy over the best structure of this formula in the dataset ... 0.13 eV per formula unit
Energy relative to the elements ... 0.0376 eV per atom

Lattice parameters (Å, degrees): 8.7780 8.7780 8.7780 156.67 101.15 83.59
Fractional positions:
La 0.0000 0.0000 0.0000
Nd 0.2422 0.7422 0.5000
Nd 0.7578 0.2578 0.5000
Tm 0.1395 0.3675 0.7719
Tm 0.4044 0.6325 0.7719
Tm 0.5000 0.0000 0.5000
Tm 0.5956 0.3675 0.2281
Tm 0.8605 0.6325 0.2281


Entry 8:
Material: La6NdTm4
Method: DFT, PBE-GGA
State: optimized geometry

Magnetic moment ... 0.0 μB per cell
Mass density ... 7.17 g cm⁻³
Energy relative to the elements ... 0.0933 eV per atom

Lattice parameters (Å, degrees): 5.7519 5.7519 26.3600 90.00 90.00 118.64
Fractional positions:
La 0.0000 0.0000 0.0000
La 0.0000 0.0000 0.5000
La 0.0288 0.9712 0.7500
La 0.3174 0.6826 0.0945
La 0.3174 0.6826 0.4055
La 0.3562 0.6438 0.6808
La 0.3562 0.6438 0.8192
La 0.6438 0.3562 0.1808
La 0.6438 0.3562 0.3192
La 0.6826 0.3174 0.5945
La 0.6826 0.3174 0.9055
La 0.9712 0.0288 0.2500
Nd 0.3094 0.6906 0.2500
Nd 0.6906 0.3094 0.7500
Tm 0.0212 0.9788 0.6248
Tm 0.0212 0.9788 0.8752
Tm 0.3408 0.6592 0.5459
Tm 0.3408 0.6592 0.9541
Tm 0.6592 0.3408 0.0459
Tm 0.6592 0.3408 0.4541
Tm 0.9788 0.0212 0.1248
Tm 0.9788 0.0212 0.3752